A relaxed Tb4Bi2S9 crystal, computed with GGA-PBE.

## Properties
ΔE_f (raw) = -1481 meV/atom

Cell: 7.014 7.014 18.680 Å, 90.00 90.00 59.99°
Sites, in units of the cell vectors:
Tb: 0.334 0.333 0.983
Tb: 0.333 0.333 0.483
Tb: 0.666 0.667 0.017
Tb: 0.333 0.333 0.184
Tb: 0.667 0.667 0.517
Tb: 0.666 0.667 0.316
Tb: 0.334 0.333 0.684
Tb: 0.667 0.667 0.816
Bi: 0.000 0.000 0.352
Bi: 0.000 0.000 0.148
Bi: 0.000 0.000 0.648
Bi: 0.000 0.000 0.852
S: 0.000 0.305 0.750
S: 0.306 0.695 0.750
S: 0.695 0.000 0.750
S: 0.000 0.695 0.250
S: 0.694 0.305 0.250
S: 0.305 0.000 0.250
S: 0.655 0.968 0.416
S: 0.968 0.376 0.416
S: 0.376 0.656 0.416
S: 0.623 0.032 0.084
S: 0.344 0.624 0.084
S: 0.032 0.344 0.084
S: 0.345 0.032 0.584
S: 0.032 0.624 0.584
S: 0.624 0.344 0.584
S: 0.377 0.968 0.916
S: 0.656 0.376 0.916
S: 0.968 0.656 0.916